The following is a GGA+U calculation of a relaxed structure of MoWI2O, from the Alexandria database.

```
MoWI2O
1.0
6.0478 0.0000 0.0000
0.0000 6.0478 0.0000
0.0000 0.0000 3.9006
I Mo O W
2 1 1 1
Direct
0.0000 0.5000 0.0000 I
0.5000 0.0000 0.0000 I
0.5000 0.5000 0.5000 Mo
0.0000 0.0000 0.5000 O
0.0000 0.0000 0.0000 W
```

Summary:
* total magnetization: 8.0 μB/f.u.
* energy above the lowest structure with this stoichiometry: 0.00 kJ/mol of atoms
* space-group type: P4/mmm (123)